Record 1
Computed, not measured: an optimized crystal structure of BaTbCuTe3 at the PBE level of DFT.

Values from the calculation:
Electronic total energy = -4.5144 eV per atom
M_tot = 0.00 μB/atom

Cell lengths 9.283, 4.438, 9.983 Å; angles 90.00, 105.43, 90.00 degrees
Positions (direct):
Te  0.050  0.250  0.834
Te  0.719  0.750  0.529
Te  0.281  0.250  0.471
Te  0.596  0.250  0.864
Te  0.404  0.750  0.136
Te  0.950  0.750  0.166
Ba  0.298  0.750  0.743
Ba  0.702  0.250  0.257
Tb  0.182  0.250  0.156
Tb  0.818  0.750  0.844
Cu  0.579  0.250  0.589
Cu  0.421  0.750  0.411

=====

Record 2
Computed, not measured: an optimized crystal structure of BaCu2Tc at the PBE level of DFT.

Values from the calculation:
Electronic total energy = -3.9010 eV per atom
M_tot = 0.40 μB/atom

Cell lengths 4.771, 4.771, 4.771 Å; angles 60.00, 60.00, 60.00 degrees
Last column: magnetic moment on the atom in μB.
Positions (direct):
Cu  0.750  0.750  0.750  0.10
Cu  0.500  0.500  0.500  -0.01
Tc  0.000  0.000  0.000  1.45
Ba  0.250  0.250  0.250  0.01

=====

Record 3
Computed, not measured: an optimized crystal structure of BaTmCuTe3 at the PBE level of DFT.

Values from the calculation:
Electronic total energy = -4.4568 eV per atom
M_tot = 0.00 μB/atom

Cell lengths 8.591, 4.415, 10.701 Å; angles 90.00, 106.94, 90.00 degrees
Positions (direct):
Te  0.565  0.250  0.341
Te  0.259  0.250  0.949
Te  0.741  0.750  0.051
Te  0.941  0.750  0.642
Te  0.059  0.250  0.358
Te  0.435  0.750  0.659
Cu  0.422  0.750  0.906
Cu  0.578  0.250  0.094
Tm  0.806  0.750  0.343
Tm  0.194  0.250  0.657
Ba  0.251  0.750  0.200
Ba  0.749  0.250  0.800

=====

Record 4
Computed, not measured: an optimized crystal structure of BaTmCuTe3 at the PBE level of DFT.

Values from the calculation:
Electronic total energy = -4.3639 eV per atom
M_tot = 0.00 μB/atom

Cell lengths 10.057, 10.057, 9.036 Å; angles 101.69, 101.69, 25.70 degrees
Positions (direct):
Cu  0.540  0.540  0.704
Cu  0.460  0.460  0.296
Tm  0.838  0.838  0.421
Tm  0.162  0.162  0.579
Te  0.500  0.500  0.000
Te  0.325  0.325  0.189
Te  0.677  0.677  0.363
Te  0.000  0.000  0.500
Te  0.675  0.675  0.811
Te  0.323  0.323  0.637
Ba  0.869  0.869  0.930
Ba  0.131  0.131  0.070

=====

Record 5
Computed, not measured: an optimized crystal structure of BaThCu at the PBE level of DFT.

Values from the calculation:
Electronic total energy = -3.7893 eV per atom
M_tot = 0.36 μB/atom

Cell lengths 5.164, 5.164, 5.164 Å; angles 60.00, 60.00, 60.00 degrees
Positions (direct):
Ba  0.250  0.250  0.250
Th  0.750  0.750  0.750
Cu  0.000  0.000  0.000

=====

Record 6
Computed, not measured: an optimized crystal structure of BaTmCu at the PBE level of DFT.

Values from the calculation:
Electronic total energy = -3.0612 eV per atom
M_tot = 0.03 μB/atom

Cell lengths 5.200, 5.200, 5.200 Å; angles 60.00, 60.00, 60.00 degrees
Positions (direct):
Ba  0.250  0.250  0.250
Cu  0.000  0.000  0.000
Tm  0.750  0.750  0.750

=====

Record 7
Computed, not measured: an optimized crystal structure of Ba2UCu3 at the PBE level of DFT.

Values from the calculation:
Electronic total energy = -3.4099 eV per atom
M_tot = 0.70 μB/atom

Cell lengths 6.283, 6.283, 4.954 Å; angles 90.00, 90.00, 120.00 degrees
Last column: magnetic moment on the atom in μB.
Positions (direct):
Cu  0.500  0.500  0.500  0.01
Cu  0.500  0.000  0.500  0.01
Cu  0.000  0.500  0.500  0.01
U  0.000  0.000  0.000  3.33
Ba  0.667  0.333  0.000  0.12
Ba  0.333  0.667  0.000  0.12

=====

Record 8
Computed, not measured: an optimized crystal structure of BaZn3Cu2 at the PBE level of DFT.

Values from the calculation:
Electronic total energy = -2.3634 eV per atom

Cell lengths 6.707, 6.707, 5.275 Å; angles 90.00, 90.00, 75.22 degrees
Positions (direct):
Zn  0.469  0.926  0.250
Zn  0.072  0.928  0.250
Zn  0.074  0.531  0.250
Zn  0.531  0.074  0.750
Zn  0.928  0.072  0.750
Zn  0.926  0.469  0.750
Cu  0.201  0.201  0.000
Cu  0.201  0.201  0.500
Cu  0.799  0.799  0.500
Cu  0.799  0.799  0.000
Ba  0.338  0.662  0.750
Ba  0.662  0.338  0.250